A geometry-optimized UGe4Rh4 structure. Source: the Alexandria database, functional PBE-GGA.

Geometry as POSCAR:
```
UGe4Rh4
1.0
-2.224 5.689 -0.571
-4.129 -2.022 -4.063
-5.294 -1.457 6.105
Rh U Ge
8 2 8
direct
0.728 0.000 0.619
0.272 0.000 0.619
0.000 0.272 0.381
0.500 0.772 0.119
0.500 0.228 0.119
0.000 0.728 0.381
0.228 0.500 0.881
0.772 0.500 0.881
0.500 0.500 0.500
0.000 0.000 0.000
0.500 0.789 0.819
0.289 0.000 0.319
0.000 0.289 0.681
0.789 0.500 0.181
0.000 0.711 0.681
0.711 0.000 0.319
0.211 0.500 0.181
0.500 0.211 0.819
```

## Properties
The calculation puts the raw total energy at -125.28 eV for the cell shown. The total magnetic moment comes out at 2.8 μB per formula unit. The density of states at the Fermi level comes out at 18.5 states/eV per cell. The density comes out at 10.10 g/cm³. The calculation puts the formation energy at -386 meV/atom. The calculation puts the volume at 17.2 A^3/atom.